[1]
# Sr2InSe PBE relaxed
# Raw formation energy (eV/atom): -0.302
# Mass density (g/cm³): 4.8
# Final energy (eV per formula unit): -10.8
data_Sr2InSe
_chemical_formula_sum 'Sr8 In4 Se4'
_space_group_name_H-M_alt 'F -4 3 m'
_space_group_IT_number 216
_space_group_name_Hall 'F -4 2 3'
_cell_length_a 8.0203
_cell_length_b 8.0203
_cell_length_c 8.0203
_cell_angle_alpha 90.00
_cell_angle_beta 90.00
_cell_angle_gamma 90.00
loop_
_atom_site_label
_atom_site_type_symbol
_atom_site_fract_x
_atom_site_fract_y
_atom_site_fract_z
Sr1 Sr 0.0000 0.0000 0.0000
Sr2 Sr 0.2500 0.2500 0.2500
In1 In 0.0000 0.0000 0.5000
Se1 Se 0.2500 0.2500 0.7500

=====

[2]
# SrInSe2 PBE relaxed
# Raw formation energy (eV/atom): -1.016
# Mass density (g/cm³): 5.0
# Final energy (eV per formula unit): -15.5
data_SrInSe2
_chemical_formula_sum 'Sr1 In1 Se2'
_space_group_name_H-M_alt 'P 1 2/m 1'
_space_group_IT_number 10
_space_group_name_Hall '-P 2y'
_cell_length_a 4.0917
_cell_length_b 3.8713
_cell_length_c 7.6056
_cell_angle_alpha 90.00
_cell_angle_beta 90.46
_cell_angle_gamma 90.00
loop_
_atom_site_label
_atom_site_type_symbol
_atom_site_fract_x
_atom_site_fract_y
_atom_site_fract_z
Sr1 Sr 0.0000 0.0000 0.0000
In1 In 0.5000 0.0000 0.5000
Se1 Se 0.4978 0.5000 0.7816

=====

[3]
# SrInSe PBE relaxed
# Raw formation energy (eV/atom): -0.781
# Mass density (g/cm³): 4.6
# Final energy (eV per formula unit): -10.2
data_SrInSe
_chemical_formula_sum 'Sr4 In4 Se4'
_space_group_name_H-M_alt 'F -4 3 m'
_space_group_IT_number 216
_space_group_name_Hall 'F -4 2 3'
_cell_length_a 7.4036
_cell_length_b 7.4036
_cell_length_c 7.4036
_cell_angle_alpha 90.00
_cell_angle_beta 90.00
_cell_angle_gamma 90.00
loop_
_atom_site_label
_atom_site_type_symbol
_atom_site_fract_x
_atom_site_fract_y
_atom_site_fract_z
Sr1 Sr 0.0000 0.0000 0.0000
In1 In 0.0000 0.0000 0.5000
Se1 Se 0.2500 0.2500 0.7500

=====

[4]
# Sr2InSe PBE relaxed
# Raw formation energy (eV/atom): -0.842
# Mass density (g/cm³): 4.1
# Final energy (eV per formula unit): -13.0
data_Sr2InSe
_chemical_formula_sum 'Sr8 In4 Se4'
_space_group_name_H-M_alt 'I -4 2 d'
_space_group_IT_number 122
_space_group_name_Hall 'I -4 2bw'
_cell_length_a 8.5558
_cell_length_b 8.5558
_cell_length_c 8.2584
_cell_angle_alpha 90.00
_cell_angle_beta 90.00
_cell_angle_gamma 90.00
loop_
_atom_site_label
_atom_site_type_symbol
_atom_site_fract_x
_atom_site_fract_y
_atom_site_fract_z
Sr1 Sr 0.2114 0.2500 0.1250
In1 In 0.0000 0.0000 0.5000
Se1 Se 0.0000 0.0000 0.0000